A relaxed structure of CuAs2Os, computed with PBE.

Cell lengths 4.2635, 4.2635, 5.1087 Å; angles 81.94, 81.94, 42.52 degrees
Sites, in units of the cell vectors:
As: 0.0179 0.0179 0.9894
As: 0.4821 0.4821 0.5106
Cu: 0.2500 0.2500 0.2500
Os: 0.7500 0.7500 0.7500

Calculated density ... 10.8 Mg/m³
ΔH_f (0 K) ... 278 meV/atom
Final energy ... -0.2160 hartree per atom
Excess energy over the best structure of this formula in the dataset ... 101 meV per atom
M_tot ... 0.000 Bohr magnetons per cell